15
Lattice="-4.0057 4.0057 2.8710 4.0057 -4.0057 2.8710 4.0057 4.0057 -2.8710" Properties=species:S:1:pos:R:3 comment="Co10Ni4Ir, optimized geometry, DFT PBE-GGA" n_ef_per_ev_cell=24.41 spacegroup="I4/mmm (139)" dft_energy_ev_per_cell=-97.5 magmom_total_mub_per_atom=1.307 pbc="T T T"
Co 0.0000 4.0057 1.4355
Co 2.2542 4.0061 -1.1287
Co 4.0053 2.2542 1.1287
Co 0.0004 1.7514 3.9997
Co 1.7514 -0.0004 1.7424
Co 1.7514 -0.0004 3.9997
Co 4.0057 0.0000 1.4355
Co 2.2542 4.0061 1.1287
Co 4.0053 2.2542 -1.1287
Co 0.0004 1.7514 1.7424
Ni 6.1861 1.8226 0.0000
Ni 2.1830 2.1804 2.8710
Ni 1.8226 1.8253 0.0000
Ni -2.1804 2.1830 2.8710
Ir 0.0000 0.0000 0.0000

4
Lattice="2.5680 0.0015 0.0000 -1.1951 2.2730 0.0000 0.0000 0.0000 8.5273" Properties=species:S:1:pos:R:3 comment="CoNi2Ir, optimized geometry, DFT PBE-GGA" n_ef_per_ev_cell=7.68 spacegroup="Cmmm (65)" e_above_lowest_polymorph_ev_per_atom=0.2014 magmom_total_mub_per_atom=0.919 pbc="T T T"
Co 0.6865 1.1372 2.1318
Ir 0.6865 1.1372 6.3955
Ni 0.0000 0.0000 0.1038
Ni 0.0000 0.0000 4.1599

4
Lattice="-2.4545 3.6864 -0.5378 -3.9388 1.9667 0.7221 0.8612 2.0523 3.8161" Properties=species:S:1:pos:R:3 comment="Co2NiIr, optimized geometry, DFT PBE-GGA" n_ef_per_ev_cell=5.79 spacegroup="C2/m (12)" dft_energy_ev_per_cell=-28.7 magmom_total_mub_per_atom=1.092 pbc="T T T"
Ni -1.3830 1.9264 1.0001
Ir -4.1491 5.7791 3.0003
Co 0.0051 0.0147 0.0261
Co -2.7712 3.8380 1.9741